Na3Fe2Mo5O16 | Alexandria via LeMat-Bulk | PBE with a Hubbard U | relaxed; uncorrected energy = -6.661 eV per atom
1.0
6.119 0.000 0.000
-3.060 5.299 0.000
0.000 0.000 21.450
Na Fe Mo O
6 4 10 32
Direct
0.000 0.000 0.000
0.000 0.000 0.500
0.333 0.667 0.110
0.333 0.667 0.616
0.667 0.333 0.384
0.667 0.333 0.890
0.000 0.000 0.149
0.000 0.000 0.351
0.000 0.000 0.649
0.000 0.000 0.851
0.003 0.501 0.754
0.333 0.667 0.430
0.333 0.667 0.924
0.499 0.501 0.754
0.499 0.997 0.754
0.501 0.003 0.246
0.501 0.499 0.246
0.667 0.333 0.076
0.667 0.333 0.570
0.997 0.499 0.246
0.161 0.323 0.910
0.161 0.839 0.910
0.167 0.334 0.409
0.167 0.833 0.409
0.170 0.340 0.193
0.170 0.830 0.193
0.177 0.354 0.703
0.177 0.823 0.703
0.323 0.161 0.090
0.333 0.667 0.006
0.333 0.667 0.297
0.333 0.667 0.513
0.333 0.667 0.810
0.334 0.167 0.591
0.340 0.170 0.807
0.354 0.177 0.297
0.646 0.823 0.703
0.660 0.830 0.193
0.666 0.833 0.409
0.667 0.333 0.190
0.667 0.333 0.487
0.667 0.333 0.703
0.667 0.333 0.994
0.677 0.839 0.910
0.823 0.177 0.297
0.823 0.646 0.297
0.830 0.170 0.807
0.830 0.660 0.807
0.833 0.167 0.591
0.833 0.666 0.591
0.839 0.161 0.090
0.839 0.677 0.090